Record 1
{"formula": "BaSc3Mo", "functional": "PBE", "state": "relaxed", "cell": [[5.1227, 0.0000, 0.0000], [0.0000, 5.1227, 0.0000], [0.0000, 0.0000, 5.1227]], "species": ["Ba", "Sc", "Sc", "Sc", "Mo"], "fractional_positions": [[0.0000, 0.0000, 0.0000], [0.0000, 0.0000, 0.5000], [0.0000, 0.5000, 0.0000], [0.5000, 0.0000, 0.0000], [0.5000, 0.5000, 0.5000]], "space_group": "Pm-3m", "e_tot_ev_per_fu": -22.4, "density_g_cm3": 4.55}

---

Record 2
{"formula": "BaSc2Mo", "functional": "PBE", "state": "relaxed", "cell": [[4.7070, 0.0000, 0.0000], [0.0000, 4.7070, 0.0000], [0.0000, 0.0000, 8.9828]], "species": ["Ba", "Ba", "Sc", "Sc", "Sc", "Sc", "Mo", "Mo"], "fractional_positions": [[0.0000, 0.0000, 0.0000], [0.5000, 0.5000, 0.5000], [0.0000, 0.0000, 0.5000], [0.0000, 0.5000, 0.2500], [0.5000, 0.0000, 0.7500], [0.5000, 0.5000, 0.0000], [0.0000, 0.5000, 0.7500], [0.5000, 0.0000, 0.2500]], "space_group": "I-4m2", "e_tot_ev_per_fu": -22.3, "density_g_cm3": 5.39}

---

Record 3
{"formula": "Ba3ScMo", "functional": "PBE", "state": "relaxed", "cell": [[5.9824, 0.0000, 0.0000], [0.0000, 5.9824, 0.0000], [0.0000, 0.0000, 5.9824]], "species": ["Ba", "Ba", "Ba", "Sc", "Mo"], "fractional_positions": [[0.0000, 0.0000, 0.5000], [0.0000, 0.5000, 0.0000], [0.5000, 0.0000, 0.0000], [0.5000, 0.5000, 0.5000], [0.0000, 0.0000, 0.0000]], "space_group": "Pm-3m", "e_tot_ev_per_fu": -18.0, "density_g_cm3": 4.29}

---

Record 4
{"formula": "BaSc2Mo", "functional": "PBE", "state": "relaxed", "cell": [[3.3486, 0.0000, 0.0000], [0.0000, 4.6123, 0.0000], [0.0000, 0.0000, 15.6350]], "species": ["Ba", "Ba", "Sc", "Sc", "Sc", "Sc", "Mo", "Mo"], "fractional_positions": [[0.0000, 0.0000, 0.0000], [0.5000, 0.5000, 0.5000], [0.0000, 0.0000, 0.3257], [0.0000, 0.5000, 0.1895], [0.5000, 0.0000, 0.6895], [0.5000, 0.5000, 0.8257], [0.0000, 0.5000, 0.6906], [0.5000, 0.0000, 0.1906]], "space_group": "Imm2", "e_tot_ev_per_fu": -23.2, "density_g_cm3": 4.44}

---

Record 5
{"formula": "BaSc2Mo", "functional": "PBE", "state": "relaxed", "cell": [[6.4742, 0.0000, 0.0000], [0.0000, 8.7562, 0.0000], [0.0000, 0.0000, 3.3757]], "species": ["Ba", "Ba", "Sc", "Sc", "Sc", "Sc", "Mo", "Mo"], "fractional_positions": [[0.0000, 0.0000, 0.0000], [0.5000, 0.5000, 0.0000], [0.2500, 0.2500, 0.5000], [0.2500, 0.7500, 0.5000], [0.7500, 0.2500, 0.5000], [0.7500, 0.7500, 0.5000], [0.0000, 0.5000, 0.0000], [0.5000, 0.0000, 0.0000]], "space_group": "Cmmm", "e_tot_ev_per_fu": -22.4, "density_g_cm3": 5.61}

---

Record 6
{"formula": "BaScTl2Mo", "functional": "PBE", "state": "relaxed", "cell": [[5.5991, 0.0000, 0.0000], [0.0000, 5.5991, 0.0000], [0.0000, 0.0000, 6.0322]], "species": ["Ba", "Sc", "Tl", "Tl", "Mo"], "fractional_positions": [[0.0000, 0.0000, 0.0000], [0.0000, 0.0000, 0.5000], [0.0000, 0.5000, 0.5000], [0.5000, 0.0000, 0.5000], [0.5000, 0.5000, 0.0000]], "space_group": "P4/mmm", "e_tot_ev_per_fu": -17.8, "density_g_cm3": 6.03}